(1)
VASP calculation (PBE) on a geometry-optimized BaTmLu3 structure. Values from VASP.

Summary:
VASP energy: -34.7 eV per cell
spin magnetization: 0.219 μB/f.u.

```
&SYSTEM
  ibrav = 0, nat = 10, ntyp = 3
/
ATOMIC_SPECIES
Lu 174.97 Lu.upf
Ba 137.33 Ba.upf
Tm 168.93 Tm.upf
ATOMIC_POSITIONS crystal
Lu 0.250 0.488 0.934
Lu 0.250 0.578 0.488
Lu 0.750 0.488 0.578
Ba 0.000 0.000 0.000
Ba 0.500 0.000 0.000
Lu 0.250 0.935 0.578
Tm 0.500 0.333 0.333
Lu 0.750 0.934 0.488
Tm 0.000 0.333 0.333
Lu 0.750 0.578 0.935
CELL_PARAMETERS angstrom
6.999 0.000 0.000
0.000 3.908 6.763
0.000 -3.908 6.763
```


(2)
VASP calculation (PBE) on a geometry-optimized DyZn5 structure. Values from VASP.

Summary:
E_form: -1.70 eV per formula unit
VASP energy: -12.6 eV per cell
spin magnetization: 0.001 μB/f.u.

```
&SYSTEM
  ibrav = 0, nat = 6, ntyp = 2
/
ATOMIC_SPECIES
Zn 65.41 Zn.upf
Dy 162.50 Dy.upf
ATOMIC_POSITIONS crystal
Zn 0.496 0.504 0.500
Dy 0.000 0.000 0.000
Zn 0.000 0.496 0.500
Zn 0.504 0.000 0.500
Zn 0.667 0.667 0.000
Zn 0.333 0.333 0.000
CELL_PARAMETERS angstrom
2.633 4.561 0.000
-2.633 4.561 0.000
0.000 0.000 4.180
```


(3)
VASP calculation (PBE) on a geometry-optimized TmSiIr structure. Values from VASP.

Summary:
VASP energy: -18.2 eV per cell
spin magnetization: 0.002 μB/f.u.

```
&SYSTEM
  ibrav = 0, nat = 3, ntyp = 3
/
ATOMIC_SPECIES
Ir 192.22 Ir.upf
Si 28.09 Si.upf
Tm 168.93 Tm.upf
ATOMIC_POSITIONS crystal
Ir 0.250 0.250 0.250
Si 0.750 0.750 0.750
Tm 0.000 0.000 0.000
CELL_PARAMETERS angstrom
0.000 3.191 3.191
3.191 0.000 3.191
3.191 3.191 0.000
```


(4)
VASP calculation (PBE) on a geometry-optimized Hf4GaSbC2 structure. Values from VASP.

Summary:
VASP energy: -71.4 eV per cell
spin magnetization: 0.001 μB/f.u.

```
&SYSTEM
  ibrav = 0, nat = 8, ntyp = 4
/
ATOMIC_SPECIES
Sb 121.76 Sb.upf
Hf 178.49 Hf.upf
Ga 69.72 Ga.upf
C 12.01 C.upf
ATOMIC_POSITIONS crystal
Sb 0.667 0.333 0.500
Hf 0.667 0.333 0.160
Hf 0.000 0.000 0.665
Ga 0.000 0.000 0.000
C 0.333 0.667 0.752
Hf 0.667 0.333 0.840
C 0.333 0.667 0.248
Hf 0.000 0.000 0.335
CELL_PARAMETERS angstrom
-0.624 1.887 -2.680
-2.299 -2.157 1.093
-5.406 9.955 8.267
```


(5)
VASP calculation (PBE) on a geometry-optimized LaReAs structure. Values from VASP.

Summary:
VASP energy: -18.5 eV per cell
spin magnetization: 1.741 μB/f.u.

```
&SYSTEM
  ibrav = 0, nat = 3, ntyp = 3
/
ATOMIC_SPECIES
Re 186.21 Re.upf
As 74.92 As.upf
La 138.91 La.upf
ATOMIC_POSITIONS crystal
Re 0.750 0.750 0.750
As 0.250 0.250 0.250
La 0.000 0.000 0.000
CELL_PARAMETERS angstrom
0.000 3.419 3.419
3.419 0.000 3.419
3.419 3.419 0.000
```


(6)
VASP calculation (PBE) on a geometry-optimized SmCuNi structure. Values from VASP.

Summary:
E_form: 1.23 eV per formula unit
VASP energy: -12.8 eV per cell
spin magnetization: 0.001 μB/f.u.

```
&SYSTEM
  ibrav = 0, nat = 3, ntyp = 3
/
ATOMIC_SPECIES
Ni 58.69 Ni.upf
Sm 150.36 Sm.upf
Cu 63.55 Cu.upf
ATOMIC_POSITIONS crystal
Ni 0.750 0.750 0.750
Sm 0.000 0.000 0.000
Cu 0.250 0.250 0.250
CELL_PARAMETERS angstrom
0.000 3.196 3.196
3.196 0.000 3.196
3.196 3.196 0.000
```


(7)
VASP calculation (PBE) on a geometry-optimized RbLiAu structure. Values from VASP.

Summary:
VASP energy: -5.3 eV per cell

```
&SYSTEM
  ibrav = 0, nat = 3, ntyp = 3
/
ATOMIC_SPECIES
Au 196.97 Au.upf
Li 6.94 Li.upf
Rb 85.47 Rb.upf
ATOMIC_POSITIONS crystal
Au 0.250 0.250 0.250
Li 0.750 0.750 0.750
Rb 0.000 0.000 0.000
CELL_PARAMETERS angstrom
0.000 3.838 3.838
3.838 0.000 3.838
3.838 3.838 0.000
```


(8)
VASP calculation (PBE) on a geometry-optimized CoReHgB structure. Values from VASP.

Summary:
VASP energy: -20.2 eV per cell
spin magnetization: 1.766 μB/f.u.

```
&SYSTEM
  ibrav = 0, nat = 4, ntyp = 4
/
ATOMIC_SPECIES
Re 186.21 Re.upf
B 10.81 B.upf
Hg 200.59 Hg.upf
Co 58.93 Co.upf
ATOMIC_POSITIONS crystal
Re 0.500 0.500 0.500
B 0.000 0.000 0.000
Hg 0.250 0.250 0.250
Co 0.750 0.750 0.750
CELL_PARAMETERS angstrom
0.000 3.020 3.020
3.020 0.000 3.020
3.020 3.020 0.000
```


(9)
VASP calculation (PBE) on a geometry-optimized CuTe5Mo3 structure. Values from VASP.

Summary:
VASP energy: -49.0 eV per cell
spin magnetization: 0.018 μB/f.u.

```
&SYSTEM
  ibrav = 0, nat = 9, ntyp = 3
/
ATOMIC_SPECIES
Mo 95.94 Mo.upf
Te 127.60 Te.upf
Cu 63.55 Cu.upf
ATOMIC_POSITIONS crystal
Mo 0.500 0.500 0.500
Te 0.333 0.667 0.775
Mo 0.500 0.000 0.500
Mo 0.000 0.500 0.500
Te 0.667 0.333 0.775
Te 0.667 0.333 0.225
Cu 0.000 0.000 0.000
Te 0.000 0.000 0.500
Te 0.333 0.667 0.225
CELL_PARAMETERS angstrom
-4.103 -1.353 3.808
0.405 -2.911 -4.952
5.025 -5.307 3.530
```


(10)
VASP calculation (PBE) on a geometry-optimized PrMgCu structure. Values from VASP.

Summary:
VASP energy: -8.5 eV per cell
spin magnetization: 0.013 μB/f.u.

```
&SYSTEM
  ibrav = 0, nat = 3, ntyp = 3
/
ATOMIC_SPECIES
Cu 63.55 Cu.upf
Mg 24.30 Mg.upf
Pr 140.91 Pr.upf
ATOMIC_POSITIONS crystal
Cu 0.500 0.500 0.500
Mg 0.000 0.000 0.000
Pr 0.250 0.250 0.250
CELL_PARAMETERS angstrom
0.000 3.489 3.489
3.489 0.000 3.489
3.489 3.489 0.000
```


(11)
VASP calculation (PBE) on a geometry-optimized LuNi2B structure. Values from VASP.

Summary:
VASP energy: -21.9 eV per cell
spin magnetization: 0.002 μB/f.u.

```
&SYSTEM
  ibrav = 0, nat = 4, ntyp = 3
/
ATOMIC_SPECIES
B 10.81 B.upf
Lu 174.97 Lu.upf
Ni 58.69 Ni.upf
ATOMIC_POSITIONS crystal
B 0.500 0.500 0.500
Lu 0.250 0.250 0.250
Ni 0.750 0.750 0.750
Ni 0.000 0.000 0.000
CELL_PARAMETERS angstrom
0.000 2.962 2.962
2.962 0.000 2.962
2.962 2.962 0.000
```


(12)
VASP calculation (PBE) on a geometry-optimized Ag2Ge2O5 structure. Values from VASP.

Summary:
VASP energy: -594.2 eV per cell

```
&SYSTEM
  ibrav = 0, nat = 108, ntyp = 3
/
ATOMIC_SPECIES
Ge 72.64 Ge.upf
O 16.00 O.upf
Ag 107.87 Ag.upf
ATOMIC_POSITIONS crystal
Ge 0.701 0.384 0.602
O 0.135 0.683 0.488
O 0.322 0.323 0.208
Ge 0.413 0.034 0.703
Ge 0.608 0.421 0.036
Ge 0.125 0.964 0.300
O 0.564 0.600 0.011
Ag 0.634 0.295 0.326
O 0.436 0.400 0.989
Ge 0.587 0.534 0.797
O 0.657 0.083 0.390
O 0.436 0.100 0.489
O 0.042 0.384 0.791
Ag 0.615 0.714 0.151
O 0.567 0.430 0.183
O 0.204 0.560 0.683
Ag 0.366 0.705 0.674
O 0.033 0.479 0.402
Ag 0.385 0.286 0.849
O 0.433 0.570 0.817
Ag 0.824 0.847 0.484
O 0.958 0.616 0.209
Ge 0.608 0.079 0.536
Ag 0.398 0.166 0.080
O 0.428 0.549 0.331
O 0.967 0.521 0.598
Ge 0.392 0.921 0.464
O 0.967 0.979 0.098
O 0.385 0.739 0.470
O 0.225 0.527 0.921
Ag 0.888 0.376 0.913
O 0.385 0.761 0.970
O 0.796 0.440 0.317
O 0.274 0.023 0.983
O 0.615 0.261 0.530
Ag 0.366 0.795 0.174
O 0.113 0.167 0.086
O 0.615 0.239 0.030
O 0.657 0.417 0.890
O 0.187 0.649 0.289
Ag 0.602 0.666 0.420
O 0.433 0.930 0.317
O 0.986 0.154 0.674
Ge 0.875 0.464 0.200
O 0.986 0.346 0.174
O 0.187 0.851 0.789
O 0.726 0.977 0.017
Ge 0.701 0.116 0.102
Ag 0.112 0.624 0.087
O 0.042 0.116 0.291
O 0.343 0.917 0.610
Ag 0.615 0.786 0.651
O 0.813 0.351 0.711
O 0.033 0.021 0.902
O 0.572 0.451 0.669
Ag 0.176 0.153 0.516
Ag 0.847 0.677 0.680
O 0.343 0.583 0.110
Ge 0.299 0.616 0.398
Ge 0.587 0.966 0.297
O 0.887 0.667 0.414
Ge 0.963 0.167 0.147
Ge 0.128 0.990 0.047
Ge 0.875 0.036 0.700
O 0.274 0.477 0.483
Ge 0.037 0.833 0.853
O 0.225 0.973 0.421
O 0.796 0.060 0.817
Ge 0.872 0.490 0.453
Ag 0.888 0.124 0.413
O 0.113 0.333 0.586
O 0.813 0.149 0.211
Ag 0.153 0.177 0.820
Ge 0.872 0.010 0.953
Ag 0.385 0.214 0.349
Ge 0.299 0.884 0.898
Ge 0.128 0.510 0.547
O 0.204 0.940 0.183
Ag 0.847 0.823 0.180
Ag 0.634 0.205 0.826
O 0.564 0.900 0.511
Ag 0.398 0.334 0.580
O 0.726 0.523 0.517
Ag 0.112 0.876 0.587
O 0.678 0.823 0.292
O 0.865 0.317 0.512
Ge 0.125 0.536 0.800
O 0.865 0.183 0.012
O 0.014 0.654 0.826
O 0.678 0.677 0.792
Ge 0.413 0.466 0.203
O 0.775 0.027 0.579
O 0.775 0.473 0.079
O 0.135 0.817 0.988
Ag 0.176 0.347 0.016
O 0.887 0.833 0.914
O 0.014 0.846 0.326
O 0.322 0.177 0.708
O 0.428 0.951 0.831
Ge 0.392 0.579 0.964
Ge 0.037 0.667 0.353
O 0.958 0.884 0.709
O 0.572 0.049 0.169
Ag 0.602 0.834 0.920
Ag 0.824 0.653 0.984
O 0.567 0.070 0.683
Ag 0.153 0.323 0.320
Ge 0.963 0.333 0.647
CELL_PARAMETERS angstrom
11.036 0.000 0.000
0.000 10.144 0.000
-0.986 0.000 12.225
```